(1)
Compound: Sr3TlGa
Source: the Alexandria database
Functional: PBE
Structure: optimized geometry

Output
total magnetic moment	1.6	μB per cell
energy of formation	-21	kJ/mol of formula units

Cell and atoms, written as POSCAR:
```
Sr3TlGa
1.0
6.1379 0.0000 0.0000
0.0000 6.1379 0.0000
0.0000 0.0000 6.1379
Sr Tl Ga
3 1 1
Cartesian
0.0000 0.0000 3.0690
0.0000 3.0690 0.0000
3.0690 0.0000 0.0000
3.0690 3.0690 3.0690
0.0000 0.0000 0.0000
```

(2)
Compound: PmAlTl2Te4
Source: the Alexandria database
Functional: PBE
Structure: optimized geometry

Output
formation energy (no corrections)	-627	meV per atom
total magnetic moment	0.0	μB per cell

Cell and atoms, written as POSCAR:
```
PmAlTl2Te4
1.0
-4.4421 4.6473 6.4757
4.4421 -4.6473 6.4757
4.4421 4.6473 -6.4757
Pm Al Tl Te
2 2 4 8
Cartesian
0.0000 0.0000 0.0000
0.0000 4.6473 0.0000
-2.2210 2.3237 3.2378
2.2210 2.3237 3.2378
2.2210 2.3237 -3.2378
2.2210 -2.3237 3.2378
4.4421 0.0000 0.0000
0.0000 0.0000 6.4757
2.1065 2.3237 0.3063
2.3356 -2.3237 6.7820
0.0000 0.4095 3.1675
4.4421 0.4095 3.3082
0.0000 4.2378 3.1675
4.4421 4.2378 3.3082
2.1065 6.9710 -0.3063
2.3356 2.3237 6.1694
```

(3)
Compound: Y2ZrMnW
Source: the Alexandria database
Functional: PBE
Structure: optimized geometry

Output
total magnetic moment	0.4	μB per cell
energy of formation	783	kJ/mol of formula units

Cell and atoms, written as POSCAR:
```
Y2ZrMnW
1.0
5.3992 0.0000 0.0000
0.0000 5.3992 0.0000
0.0000 0.0000 4.5245
Y Zr Mn W
2 1 1 1
Cartesian
0.0000 2.6996 0.0000
2.6996 0.0000 0.0000
0.0000 0.0000 0.0000
0.0000 0.0000 2.2622
2.6996 2.6996 2.2622
```

| no. | volume (Å³ per cell) | DFT total energy (eV per atom) |
| --- | --- | --- |
| 1 | 231.2 | -2.13 |
| 2 | 534.7 | -3.85 |
| 3 | 131.9 | -7.10 |